Crystalline Ca3PrTh2Sb6 at its relaxed geometry, computed with PBE.

The value obtained for the mass density is 6.1 g cm⁻³. As for the uncorrected formation energy: -977 meV/atom. The calculation puts the density of states at the Fermi level at 7.16 states/eV/f.u. The total magnetization comes out at 0.0 Bohr magnetons per cell.

Structure (CIF):
```
data_Ca3PrTh2Sb6
_chemical_formula_sum 'Ca3 Pr1 Th2 Sb6'
_symmetry_space_group_name_H-M 'P 1'
_symmetry_Int_Tables_number 1
_cell_length_a 7.911
_cell_length_b 7.911
_cell_length_c 7.804
_cell_angle_alpha 99.73
_cell_angle_beta 99.73
_cell_angle_gamma 119.98
loop_
_symmetry_equiv_pos_as_xyz
'x,y,z'
loop_
_atom_site_label
_atom_site_fract_x
_atom_site_fract_y
_atom_site_fract_z
Ca1 0.000 0.000 0.000
Ca2 0.335 0.665 0.000
Ca3 0.665 0.335 0.000
Pr1 0.500 0.500 0.500
Th1 0.167 0.833 0.500
Th2 0.833 0.167 0.500
Sb1 0.081 0.418 0.254
Sb2 0.245 0.245 0.746
Sb3 0.418 0.081 0.254
Sb4 0.582 0.919 0.746
Sb5 0.755 0.755 0.254
Sb6 0.919 0.582 0.746
```